Record 1
DFT (GGA-PBE) results for crystalline Dy3Ho2Tm8 at its relaxed geometry.

The volume comes out at 813.5 Å³/cell. Its offset from the most stable computed form is 0 meV per atom. The calculation puts the energy of formation from the pure elements at 2.1 eV/f.u. The density of states at the Fermi level comes out at 1.61 states/eV/atom. Its electronic total energy is -4.356 eV/atom.

The structure belongs to space group Immm (No. 71); the cell edges are 5.510, 6.743 and 21.896 Å and the angles 90.00°, 90.00° and 90.00°. Symmetry generates all atoms from Dy at (0.000, 0.000, 0.000), Dy at (0.000, 0.234, 0.500), Ho at (0.000, 0.500, 0.222), Tm at (0.000, 0.000, 0.186), Tm at (0.000, 0.238, 0.347) and Tm at (0.000, 0.500, 0.075).

Record 2
DFT (GGA-PBE) results for crystalline Dy6Ho6Tm at its relaxed geometry.

The volume comes out at 838.9 Å³/cell. The calculation puts the energy of formation from the pure elements at 3.1 eV/f.u. The density of states at the Fermi level comes out at 1.47 states/eV/atom. Its electronic total energy is -4.343 eV/atom.

The structure belongs to space group Cmmm (No. 65); the cell edges are 6.965, 10.978 and 10.972 Å and the angles 90.00°, 90.00° and 90.00°. Symmetry generates all atoms from Dy at (0.000, 0.000, 0.169), Dy at (0.000, 0.262, 0.000), Dy at (0.000, 0.355, 0.500), Ho at (0.000, 0.500, 0.197), Ho at (0.250, 0.250, 0.276) and Tm at (0.000, 0.000, 0.500).

Record 3
DFT (GGA-PBE) results for crystalline Dy5YHoTm2 at its relaxed geometry.

The volume comes out at 1157.8 Å³/cell. The calculation puts the energy of formation from the pure elements at 1.5 eV/f.u. The density of states at the Fermi level comes out at 1.68 states/eV/atom. Its electronic total energy is -4.613 eV/atom.

The structure belongs to space group Cmc2_1 (No. 36); the cell edges are 5.565, 19.823 and 10.495 Å and the angles 90.00°, 90.00° and 90.00°. Symmetry generates all atoms from Dy at (0.000, 0.017, 0.000), Dy at (0.000, 0.280, 0.287), Dy at (0.000, 0.300, 0.686), Dy at (0.000, 0.389, 0.001), Dy at (0.000, 0.479, 0.716), Y at (0.000, 0.412, 0.432), Ho at (0.000, 0.199, 0.989), Tm at (0.000, 0.110, 0.715) and Tm at (0.000, 0.113, 0.293).

Record 4
DFT (GGA-PBE) results for crystalline Dy2YHoTm at its relaxed geometry.

The volume comes out at 678.3 Å³/cell. The calculation puts the energy of formation from the pure elements at 2.0 eV/f.u. The density of states at the Fermi level comes out at 1.40 states/eV/atom. Its electronic total energy is -4.542 eV/atom.

The structure belongs to space group Cmcm (No. 63); the cell edges are 8.300, 11.379 and 7.183 Å and the angles 90.00°, 90.00° and 90.00°. Symmetry generates all atoms from Dy at (0.192, 0.000, 0.000), Y at (0.000, 0.232, 0.250), Ho at (0.000, 0.218, 0.750) and Tm at (0.000, 0.489, 0.750).

> Which of these has the highest electronic total energy?

Dy6Ho6Tm